Below is crystalline K2Na6PtAu at its relaxed geometry, with properties calculated at the PBE level.

abc: 8.085 8.085 8.085
angles: 60.00 60.00 90.00
Sites, in units of the cell vectors:
Na (0.255, 0.255, 0.000)
Na (0.255, 0.255, 0.490)
Na (0.745, 0.255, 0.000)
Na (0.255, 0.745, 0.000)
Na (0.745, 0.745, 0.510)
Na (0.745, 0.745, 0.000)
K (0.750, 0.250, 0.500)
K (0.250, 0.750, 0.500)
Pt (0.500, 0.500, 0.000)
Au (0.000, 0.000, 0.000)

Computed properties:
Final energy = -2.00 eV/atom
DOS at the Fermi energy = 3.7 states/eV/f.u.
Energy of formation from the pure elements = -53 meV/atom

Below is crystalline ReTe2Ir at its relaxed geometry, with properties calculated at the PBE level.

abc: 4.795 4.795 4.795
angles: 60.00 60.00 60.00
Sites, in units of the cell vectors:
Re (0.750, 0.750, 0.750)
Te (0.000, 0.000, 0.000)
Te (0.250, 0.250, 0.250)
Ir (0.500, 0.500, 0.500)

Computed properties:
Energy above the lowest structure with this stoichiometry = 0.927 eV per atom
Formation energy without anion corrections = 4.59 eV per formula unit
Final energy = -5.75 eV/atom
DOS at the Fermi energy = 3.0 states/eV/f.u.

Below is crystalline HgAsPd2 at its relaxed geometry, with properties calculated at the PBE level.

abc: 4.144 4.144 5.564
angles: 68.14 68.14 60.00
Sites, in units of the cell vectors:
Hg (0.000, 0.000, 0.000)
As (0.500, 0.500, 0.500)
Pd (0.773, 0.773, 0.680)
Pd (0.227, 0.227, 0.320)

Computed properties:
Final energy = -3.94 eV/atom
DOS at the Fermi energy = 1.6 states/eV/f.u.
Energy of formation from the pure elements = -107 meV/atom

Below is crystalline LaMgTaB2 at its relaxed geometry, with properties calculated at the PBE level.

abc: 4.765 5.241 4.765
angles: 90.00 90.00 90.00
Sites, in units of the cell vectors:
B (0.500, 0.000, 0.000)
B (0.000, 0.000, 0.500)
Ta (0.000, 0.500, 0.000)
Mg (0.500, 0.500, 0.500)
La (0.000, 0.000, 0.000)

Computed properties:
Final energy = -3.99 eV/atom
DOS at the Fermi energy = 6.1 states/eV/f.u.
Energy of formation from the pure elements = 2354 meV/atom

Below is crystalline Sm2Tm3Se6 at its relaxed geometry, with properties calculated at the PBE level.

abc: 7.049 7.021 7.076
angles: 80.43 70.66 59.87
Sites, in units of the cell vectors:
Se (0.087, 0.327, 0.759)
Se (0.414, 0.673, 0.759)
Se (0.740, 0.000, 0.756)
Se (0.913, 0.673, 0.241)
Se (0.260, 0.000, 0.244)
Se (0.586, 0.327, 0.241)
Sm (0.835, 0.330, 0.500)
Sm (0.165, 0.670, 0.500)
Tm (0.000, 0.000, 0.000)
Tm (0.334, 0.333, 0.000)
Tm (0.666, 0.667, 0.000)

Computed properties:
Formation energy without anion corrections = -20.30 eV per formula unit
Final energy = -5.82 eV/atom
DOS at the Fermi energy = 4.3 states/eV/f.u.

Below is crystalline Pm5TmSn4 at its relaxed geometry, with properties calculated at the PBE level.

abc: 5.364 7.246 11.220
angles: 129.55 103.83 90.00
Sites, in units of the cell vectors:
Sn (0.327, 0.901, 0.653)
Sn (0.992, 0.742, 0.985)
Sn (0.673, 0.099, 0.347)
Sn (0.008, 0.258, 0.015)
Pm (0.166, 0.834, 0.331)
Pm (0.500, 0.500, 0.000)
Pm (0.834, 0.166, 0.669)
Pm (0.833, 0.673, 0.666)
Pm (0.167, 0.327, 0.334)
Tm (0.500, 0.000, 0.000)

Computed properties:
Final energy = -4.97 eV/atom
DOS at the Fermi energy = 6.4 states/eV/f.u.
Energy of formation from the pure elements = -543 meV/atom

Below is crystalline K2TcAg at its relaxed geometry, with properties calculated at the PBE level.

abc: 2.888 2.888 11.205
angles: 90.00 90.00 90.09
Sites, in units of the cell vectors:
Ag (0.500, 0.500, 0.750)
K (0.000, 0.000, 0.494)
K (0.000, 0.000, 0.006)
Tc (0.500, 0.500, 0.250)

Computed properties:
Energy above the lowest structure with this stoichiometry = 0.132 eV per atom
Final energy = -2.88 eV/atom
DOS at the Fermi energy = 1.9 states/eV/f.u.
Energy of formation from the pure elements = 972 meV/atom

Below is crystalline Nd6Ho3Er2Sc at its relaxed geometry, with properties calculated at the PBE level.

abc: 6.222 6.222 11.715
angles: 95.07 95.07 119.99
Sites, in units of the cell vectors:
Nd (0.249, 0.249, 0.753)
Nd (0.751, 0.751, 0.247)
Nd (0.413, 0.082, 0.247)
Nd (0.587, 0.918, 0.753)
Nd (0.082, 0.413, 0.247)
Nd (0.918, 0.587, 0.753)
Er (0.333, 0.667, 0.000)
Er (0.667, 0.333, 0.000)
Ho (0.500, 0.500, 0.500)
Ho (0.833, 0.167, 0.500)
Ho (0.167, 0.833, 0.500)
Sc (0.000, 0.000, 0.000)

Computed properties:
Final energy = -4.79 eV/atom
DOS at the Fermi energy = 12.9 states/eV/f.u.
Energy of formation from the pure elements = 24 meV/atom

Below is crystalline Tb2Pr9Sm3 at its relaxed geometry, with properties calculated at the PBE level.

abc: 9.202 9.202 14.027
angles: 90.00 90.00 120.00
Sites, in units of the cell vectors:
Pr (0.275, 0.406, 0.959)
Pr (0.725, 0.594, 0.459)
Pr (0.594, 0.869, 0.541)
Pr (0.480, 0.400, 0.250)
Pr (0.079, 0.480, 0.750)
Pr (0.131, 0.725, 0.541)
Pr (0.600, 0.079, 0.250)
Pr (0.131, 0.725, 0.959)
Pr (0.406, 0.131, 0.459)
Pr (0.275, 0.406, 0.541)
Pr (0.406, 0.131, 0.041)
Pr (0.921, 0.520, 0.250)
Pr (0.594, 0.869, 0.959)
Pr (0.520, 0.600, 0.750)
Pr (0.869, 0.275, 0.041)
Pr (0.869, 0.275, 0.459)
Pr (0.400, 0.921, 0.750)
Pr (0.725, 0.594, 0.041)
Sm (0.919, 0.750, 0.750)
Sm (0.750, 0.830, 0.250)
Sm (0.830, 0.081, 0.750)
Sm (0.170, 0.919, 0.250)
Sm (0.250, 0.170, 0.750)
Sm (0.081, 0.250, 0.250)
Tb (0.333, 0.667, 0.142)
Tb (0.333, 0.667, 0.358)
Tb (0.667, 0.333, 0.858)
Tb (0.667, 0.333, 0.642)

Computed properties:
Final energy = -4.52 eV/atom
DOS at the Fermi energy = 18.7 states/eV/f.u.
Energy of formation from the pure elements = 221 meV/atom

Number 1: V 37.4 A^3/atom. Number 2: V 19.5 A^3/atom. Number 3: V 18.7 A^3/atom. Number 4: V 23.8 A^3/atom. Number 5: V 26.0 A^3/atom. Number 6: V 32.0 A^3/atom. Number 7: V 23.4 A^3/atom. Number 8: V 32.2 A^3/atom. Number 9: V 36.7 A^3/atom.